[1]
VASP calculation (PBE-GGA) on a relaxed structure of NaLaMg.

It has space group I4mm (No. 107), with a = 3.483 Å, b = 3.483 Å, c = 15.970 Å, α = 90.00°, β = 90.00° and γ = 90.00°. The distinct sites, in fractional coordinates, are Na at (0.000, 0.000, 0.000), La at (0.000, 0.000, 0.695) and Mg at (0.000, 0.000, 0.344).

The energy of formation from the pure elements is 0.086 eV/atom. The polymorph energy (0 for the lowest one) is 0.019 eV/atom.

***

[2]
VASP calculation (PBE-GGA) on a relaxed structure of Er6Fe2Au.

It has space group Immm (No. 71), with a = 9.276 Å, b = 9.408 Å, c = 9.715 Å, α = 90.00°, β = 90.00° and γ = 90.00°. The distinct sites, in fractional coordinates, are Er at (0.000, 0.208, 0.224), Er at (0.205, 0.500, 0.184), Er at (0.211, 0.314, 0.500), Fe at (0.000, 0.384, 0.000), Fe at (0.000, 0.500, 0.390), Au at (0.000, 0.000, 0.000) and Au at (0.000, 0.000, 0.500).

The energy of formation from the pure elements is -0.241 eV/atom.

***

[3]
VASP calculation (PBE-GGA) on a relaxed structure of ZrGaNO2.

It has space group P4/mmm (No. 123), with a = 3.705 Å, b = 3.705 Å, c = 3.983 Å, α = 90.00°, β = 90.00° and γ = 90.00°. The distinct sites, in fractional coordinates, are Zr at (0.000, 0.000, 0.000), Ga at (0.500, 0.500, 0.500), N at (0.500, 0.500, 0.000) and O at (0.000, 0.500, 0.500).

The value obtained for the formation energy (no corrections) is -1.145 eV/atom.

***

[4]
VASP calculation (PBE-GGA) on a relaxed structure of SmEr4Sc.

It has space group Pm (No. 6), with a = 3.463 Å, b = 5.260 Å, c = 10.080 Å, α = 90.00°, β = 99.87° and γ = 90.00°. The distinct sites, in fractional coordinates, are Sm at (0.000, 0.000, 0.000), Er at (0.182, 0.000, 0.360), Er at (0.409, 0.500, 0.812), Er at (0.589, 0.500, 0.178), Er at (0.836, 0.000, 0.665) and Sc at (0.756, 0.500, 0.505).

The energy of formation from the pure elements is 0.045 eV/atom. The polymorph energy (0 for the lowest one) is 0.000 eV/atom.

***

- Number 1 is which compound?
  NaLaMg

***

What did the second record say?
VASP calculation (PBE-GGA) on a relaxed structure of Er6Fe2Au.

It has space group Immm (No. 71), with a = 9.276 Å, b = 9.408 Å, c = 9.715 Å, α = 90.00°, β = 90.00° and γ = 90.00°. The distinct sites, in fractional coordinates, are Er at (0.000, 0.208, 0.224), Er at (0.205, 0.500, 0.184), Er at (0.211, 0.314, 0.500), Fe at (0.000, 0.384, 0.000), Fe at (0.000, 0.500, 0.390), Au at (0.000, 0.000, 0.000) and Au at (0.000, 0.000, 0.500).

The energy of formation from the pure elements is -0.241 eV/atom.

***

What did the first record say?
VASP calculation (PBE-GGA) on a relaxed structure of NaLaMg.

It has space group I4mm (No. 107), with a = 3.483 Å, b = 3.483 Å, c = 15.970 Å, α = 90.00°, β = 90.00° and γ = 90.00°. The distinct sites, in fractional coordinates, are Na at (0.000, 0.000, 0.000), La at (0.000, 0.000, 0.695) and Mg at (0.000, 0.000, 0.344).

The energy of formation from the pure elements is 0.086 eV/atom. The polymorph energy (0 for the lowest one) is 0.019 eV/atom.